No. 1
# CdRe2Sb

A PBEsol-optimized structure of CdRe2Sb (meta-GGA SCAN, Alexandria via LeMat-Bulk).

Cell: 2.989 2.999 8.574 Å, 90.00 99.95 90.00°
Sites, in units of the cell vectors:
1 Re 0.956 0.000 0.037
2 Re 0.545 0.500 0.216
3 Sb 0.160 0.000 0.448
4 Cd 0.338 0.500 0.799

Summary:
Uncorrected energy = -208.8 eV/f.u.
Energy above the lowest structure with this stoichiometry = 0.0 meV per atom

No. 2
# Sc2CdRe

A PBEsol-optimized structure of Sc2CdRe (meta-GGA SCAN, Alexandria via LeMat-Bulk).

Cell: 2.890 2.890 9.125 Å, 90.00 90.00 90.00°
Each line ends with the local moment (μB).
Sites, in units of the cell vectors:
1 Sc 0.500 0.500 0.265  0.11
2 Cd 0.000 0.000 0.517  0.00
3 Sc 0.000 0.000 0.969  0.02
4 Re 0.500 0.500 0.748  0.41

Summary:
Uncorrected energy = -129.1 eV/f.u.
Formation energy = 0.2324 eV per atom

No. 3
# Sc2CdRe

A PBEsol-optimized structure of Sc2CdRe (meta-GGA SCAN, Alexandria via LeMat-Bulk).

Cell: 3.267 3.267 7.098 Å, 90.00 90.00 90.00°
Sites, in units of the cell vectors:
1 Re 0.500 0.500 0.500
2 Sc 0.000 0.000 0.286
3 Cd 0.500 0.500 0.000
4 Sc 0.000 0.000 0.714

Summary:
Uncorrected energy = -131.2 eV/f.u.
Formation energy = -0.2966 eV per atom

No. 4
# Sc2CdRe

A PBEsol-optimized structure of Sc2CdRe (meta-GGA SCAN, Alexandria via LeMat-Bulk).

Cell: 2.943 2.943 9.081 Å, 90.00 90.00 107.03°
Sites, in units of the cell vectors:
1 Sc 0.000 0.000 0.778
2 Re 0.500 0.500 0.000
3 Cd 0.500 0.500 0.500
4 Sc 0.000 0.000 0.222

Summary:
Uncorrected energy = -130.6 eV/f.u.
Formation energy = -0.1525 eV per atom

No. 5
# ScCd2Re

A PBEsol-optimized structure of ScCd2Re (meta-GGA SCAN, Alexandria via LeMat-Bulk).

Cell: 2.862 4.233 5.998 Å, 90.00 90.00 90.00°
Sites, in units of the cell vectors:
1 Cd 0.000 0.000 0.007
2 Cd 0.500 0.500 0.254
3 Sc 0.500 0.500 0.727
4 Re 0.000 0.000 0.513

Summary:
Uncorrected energy = -145.4 eV/f.u.
Energy above the lowest structure with this stoichiometry = 0.0 meV per atom
Formation energy = 0.1853 eV per atom

No. 6
# ScCd2Re

A PBEsol-optimized structure of ScCd2Re (meta-GGA SCAN, Alexandria via LeMat-Bulk).

Cell: 4.671 4.671 4.671 Å, 60.00 60.00 60.00°
Sites, in units of the cell vectors:
1 Cd 0.250 0.250 0.250
2 Re 0.000 0.000 0.000
3 Cd 0.750 0.750 0.750
4 Sc 0.500 0.500 0.500

Summary:
Uncorrected energy = -144.9 eV/f.u.
Energy above the lowest structure with this stoichiometry = 142.3 meV per atom
Formation energy = 0.3276 eV per atom

No. 7
# Sc2CdRe

A PBEsol-optimized structure of Sc2CdRe (meta-GGA SCAN, Alexandria via LeMat-Bulk).

Cell: 3.431 4.615 4.615 Å, 90.00 90.00 90.00°
Sites, in units of the cell vectors:
1 Sc 0.000 0.500 0.000
2 Sc 0.000 0.000 0.500
3 Re 0.500 0.500 0.500
4 Cd 0.500 0.000 0.000

Summary:
Uncorrected energy = -130.6 eV/f.u.
Formation energy = -0.1589 eV per atom

No. 8
# ScCdRe3

A PBEsol-optimized structure of ScCdRe3 (meta-GGA SCAN, Alexandria via LeMat-Bulk).

Cell: 4.572 4.572 4.572 Å, 90.00 90.00 90.00°
Sites, in units of the cell vectors:
1 Sc 0.000 0.000 0.000
2 Cd 0.500 0.500 0.500
3 Re 0.000 0.000 0.500
4 Re 0.500 0.000 0.000
5 Re 0.000 0.500 0.000

Summary:
Uncorrected energy = -245.2 eV/f.u.
Formation energy = 2.5394 eV per atom

Calculated volume values (in Å³ per cell) by entry order: 76; 76; 76; 75; 73; 72; 73; 96.